10
Lattice="4.7846 0.0000 0.0000 0.0000 5.4975 0.0000 0.0000 0.0000 5.4975" Properties=species:S:1:pos:R:3 comment="Pa2NbMoN6 (PBE, relaxed)" raw_formation_energy_ev_per_atom=-0.974 crystal_system=tetragonal dos_ef_per_ev_cell=7.9 pbc="T T T"
Pa 4.6413 2.7488 0.0000
Pa 4.6413 0.0000 2.7488
Nb 2.7689 2.7488 2.7488
Mo 2.7595 0.0000 0.0000
N 3.5430 1.3662 1.3662
N 3.5430 1.3662 4.1313
N 0.8890 2.7488 2.7488
N 0.9732 0.0000 0.0000
N 3.5430 4.1313 4.1313
N 3.5430 4.1313 1.3662